# 1
Tl2InAgCl6: optimized geometry, PBE.

The structure in POSCAR format:
```
Tl2InAgCl6
1.0
6.284 -3.623 0.000
6.284 3.623 0.000
-4.391 0.000 6.127
Tl In Ag Cl
2 1 1 6
Direct
0.249 0.249 0.236
0.751 0.751 0.764
0.500 0.500 0.000
0.000 0.000 0.500
0.208 0.699 0.189
0.258 0.258 0.677
0.301 0.792 0.811
0.699 0.208 0.189
0.742 0.742 0.323
0.792 0.301 0.811
```

## Properties
Volume, Å³/cell: 279
Energy above the lowest structure with this stoichiometry, meV/atom: 0



# 2
ZrIn2AgCl6: optimized geometry, PBE.

The structure in POSCAR format:
```
ZrIn2AgCl6
1.0
0.000 5.219 5.219
5.219 0.000 5.219
5.219 5.219 0.000
Zr In Ag Cl
1 2 1 6
Direct
0.000 0.000 0.000
0.250 0.250 0.250
0.750 0.750 0.750
0.500 0.500 0.500
0.243 0.243 0.757
0.243 0.757 0.243
0.243 0.757 0.757
0.757 0.243 0.243
0.757 0.243 0.757
0.757 0.757 0.243
```

## Properties
Total magnetization, μB per atom: 0.100
Energy, eV/atom: -3.823
Volume, Å³/cell: 284